DFT (PBE with a Hubbard U) results for a relaxed structure of BaPuFe2O6.

Summary:
Total energy (eV for the cell shown): -235.2
Size of the total moment (μB/atom): 0.60
Crystal system: trigonal

Cell and atoms, written as CIF:
```
data_BaPuFe2O6
_chemical_formula_sum 'Ba3 Pu3 Fe6 O18'
_cell_length_a 5.7386
_cell_length_b 5.7386
_cell_length_c 14.5510
_cell_angle_alpha 90.00
_cell_angle_beta 90.00
_cell_angle_gamma 120.00
_symmetry_space_group_name_H-M 'R 3'
_symmetry_Int_Tables_number 146
_symmetry_space_group_name_Hall 'R 3'
loop_
_atom_site_label
_atom_site_type_symbol
_atom_site_fract_x
_atom_site_fract_y
_atom_site_fract_z
Ba1 Ba 0.0000 0.0000 0.0000
Pu1 Pu 0.0000 0.0000 0.4652
Fe1 Fe 0.0000 0.0000 0.2542
Fe2 Fe 0.0000 0.0000 0.7676
O1 O 0.0300 0.5721 0.0321
O2 O 0.0368 0.3569 0.8560
```